(1)
A relaxed structure of RuSNO2. Source: Alexandria, functional PBE.

Output
Total moment ... 0.00 μB per formula unit
DOS(E_F) ... 4.69 states/eV/cell
ΔE_f (raw) ... 1.0077 eV per atom

a b c (Å): 3.1864 3.1864 7.3393
angles (deg): 90.00 90.00 90.00
Closest atoms and distances in Å follow each position.
Atoms (fractional coordinates):
Ru  0.0000  0.0000  0.0000  4 N 2.25
S  0.5000  0.5000  0.5000  4 O 1.59
N  0.5000  0.5000  0.0000  4 Ru 2.25
O  0.0000  0.5000  0.5000  2 S 1.59
O  0.5000  0.0000  0.5000  2 S 1.59

(2)
A relaxed structure of DyTmCdRu. Source: Alexandria, functional PBE.

Output
Total moment ... 0.00 μB per formula unit
ΔE_f ... -0.312 eV per atom
ΔE to the lowest computed polymorph ... 0.1222 eV/atom
DOS(E_F) ... 15.68 states/eV/cell

a b c (Å): 7.0676 7.0676 7.0676
angles (deg): 90.00 90.00 90.00
Closest atoms and distances in Å follow each position.
Atoms (fractional coordinates):
Dy  0.0000  0.0000  0.0000  4 Cd 3.06, 4 Ru 3.06
Dy  0.0000  0.5000  0.5000  4 Cd 3.06, 4 Ru 3.06
Dy  0.5000  0.0000  0.5000  4 Cd 3.06, 4 Ru 3.06
Dy  0.5000  0.5000  0.0000  4 Cd 3.06, 4 Ru 3.06
Tm  0.0000  0.0000  0.5000  4 Ru 3.06, 4 Cd 3.06
Tm  0.0000  0.5000  0.0000  4 Ru 3.06, 4 Cd 3.06
Tm  0.5000  0.0000  0.0000  4 Ru 3.06, 4 Cd 3.06
Tm  0.5000  0.5000  0.5000  4 Ru 3.06, 4 Cd 3.06
Cd  0.2500  0.2500  0.2500  4 Tm 3.06, 4 Dy 3.06
Cd  0.2500  0.7500  0.7500  4 Tm 3.06, 4 Dy 3.06
Cd  0.7500  0.2500  0.7500  4 Tm 3.06, 4 Dy 3.06
Cd  0.7500  0.7500  0.2500  4 Tm 3.06, 4 Dy 3.06
Ru  0.2500  0.2500  0.7500  4 Dy 3.06, 4 Tm 3.06
Ru  0.2500  0.7500  0.2500  4 Dy 3.06, 4 Tm 3.06
Ru  0.7500  0.2500  0.2500  4 Dy 3.06, 4 Tm 3.06
Ru  0.7500  0.7500  0.7500  4 Dy 3.06, 4 Tm 3.06